Computed, not measured: an optimized crystal structure of Pm3Er3Tm4 at the PBE-GGA level of DFT.

Structure (extended XYZ):
```
10
Lattice="3.647 0.000 0.000 0.000 6.601 6.629 0.000 -6.601 6.629" Properties=species:S:1:pos:R:3 pbc="T T T"
Pm 0.000 0.000 0.000
Pm 0.000 -2.298 8.919
Pm 0.000 2.298 8.919
Er 0.000 0.000 4.601
Er 1.823 -3.251 5.585
Er 1.823 3.251 5.585
Tm 1.823 -1.638 2.326
Tm 1.823 1.638 2.326
Tm 1.823 0.000 7.254
Tm 1.823 0.000 10.580
```

Calculated values
For the total energy, the calculation gives -44.9 eV for the cell shown. The calculation puts the density of states at the Fermi level at 0.74 states/eV/atom.